# GGA-PBE Ca3Nd2PaSb6, relaxed
# total energy = -5.08 eV/atom
# formation energy (no corrections) = -11.14 eV/f.u.
# density = 5.9 g/cm³
data_Ca3Nd2PaSb6
_cell_length_a 7.8426
_cell_length_b 13.6090
_cell_length_c 7.7473
_cell_angle_alpha 90.00
_cell_angle_beta 109.85
_cell_angle_gamma 90.00
_symmetry_space_group_name_H-M 'C 1 2/m 1'
_symmetry_Int_Tables_number 12
loop_
_symmetry_equiv_pos_as_xyz
'x,y,z'
'-x,-y,-z'
'-x,y,-z'
'x,-y,z'
'x+1/2,y+1/2,z'
'-x+1/2,-y+1/2,-z'
'-x+1/2,y+1/2,-z'
'x+1/2,-y+1/2,z'
loop_
_atom_site_label
_atom_site_type_symbol
_atom_site_fract_x
_atom_site_fract_y
_atom_site_fract_z
Ca1 Ca 0.0000 0.0000 0.0000
Ca2 Ca 0.0000 0.3279 0.0000
Nd1 Nd 0.0000 0.1660 0.5000
Pa1 Pa 0.0000 0.5000 0.5000
Sb1 Sb 0.2399 0.5000 0.2571
Sb2 Sb 0.2408 0.3389 0.7403